Record 1
# TcOs2Ru6, relaxed, DFT PBE
# ΔH_f (0 K)   0.22 eV/atom
# D(E_F)   7.5 states/eV/f.u.
# DFT total energy   -9.615 eV/atom
data_TcOs2Ru6
_chemical_formula_sum 'Tc4 Os8 Ru24'
_symmetry_space_group_name_H-M 'C 1 2/c 1'
_symmetry_Int_Tables_number 15
_cell_length_a 12.754
_cell_length_b 6.401
_cell_length_c 9.050
_cell_angle_alpha 90.00
_cell_angle_beta 134.73
_cell_angle_gamma 90.00
loop_
_symmetry_equiv_pos_as_xyz
'x,y,z'
'-x,-y,-z'
'-x,y,-z+1/2'
'x,-y,z+1/2'
'x+1/2,y+1/2,z'
'-x+1/2,-y+1/2,-z'
'-x+1/2,y+1/2,-z+1/2'
'x+1/2,-y+1/2,z+1/2'
loop_
_atom_site_label
_atom_site_fract_x
_atom_site_fract_y
_atom_site_fract_z
Tc1 0.000 0.123 0.250
Os1 0.218 0.399 0.565
Ru1 0.093 0.147 0.625
Ru2 0.101 0.440 0.194
Ru3 0.162 0.189 0.018

***

Record 2
# ScInS2N, relaxed, DFT PBE
# Relative energy among the computed polymorphs   0.0 meV per atom
# Formation energy without anion corrections   -0.13 eV per atom
# D(E_F)   2.9 states/eV/f.u.
# DFT total energy   -5.256 eV/atom
data_ScInS2N
_chemical_formula_sum 'Sc1 In1 S2 N1'
_symmetry_space_group_name_H-M 'P 4/m m m'
_symmetry_Int_Tables_number 123
_symmetry_space_group_name_Hall '-P 4 2'
_cell_length_a 5.193
_cell_length_b 5.193
_cell_length_c 4.283
_cell_angle_alpha 90.00
_cell_angle_beta 90.00
_cell_angle_gamma 90.00
loop_
_atom_site_label
_atom_site_fract_x
_atom_site_fract_y
_atom_site_fract_z
Sc1 0.000 0.000 0.000
In1 0.500 0.500 0.500
S1 0.000 0.500 0.000
N1 0.000 0.000 0.500

***

Record 3
# TbDyHo, relaxed, DFT PBE
# Relative energy among the computed polymorphs   1576.5 meV per atom
# ΔH_f (0 K)   1.59 eV/atom
# D(E_F)   4.8 states/eV/f.u.
# DFT total energy   -3.010 eV/atom
data_TbDyHo
_chemical_formula_sum 'Tb1 Dy1 Ho1'
_symmetry_space_group_name_H-M 'P -6 m 2'
_symmetry_Int_Tables_number 187
_symmetry_space_group_name_Hall 'P -6 2'
_cell_length_a 5.0669
_cell_length_b 5.0669
_cell_length_c 5.8385
_cell_angle_alpha 90.00
_cell_angle_beta 90.00
_cell_angle_gamma 120.00
loop_
_atom_site_label
_atom_site_fract_x
_atom_site_fract_y
_atom_site_fract_z
Tb1 0.0000 0.0000 0.0000
Dy1 0.6667 0.3333 0.0000
Ho1 0.0000 0.0000 0.5000

***

Record 4
# CdTeO3, relaxed, DFT PBE
# Formation energy without anion corrections   0.17 eV per atom
# D(E_F)   3.0 states/eV/f.u.
# DFT total energy   -3.613 eV/atom
data_CdTeO3
_chemical_formula_sum 'Cd1 Te1 O3'
_symmetry_space_group_name_H-M 'P m -3 m'
_symmetry_Int_Tables_number 221
_symmetry_space_group_name_Hall '-P 4 2 3'
_cell_length_a 4.126
_cell_length_b 4.126
_cell_length_c 4.126
_cell_angle_alpha 90.00
_cell_angle_beta 90.00
_cell_angle_gamma 90.00
loop_
_atom_site_label
_atom_site_fract_x
_atom_site_fract_y
_atom_site_fract_z
Cd1 0.000 0.000 0.000
Te1 0.500 0.500 0.500
O1 0.000 0.000 0.500

***

Record 5
# SrRhNO2, relaxed, DFT PBE
# Formation energy without anion corrections   -0.91 eV per atom
# D(E_F)   4.7 states/eV/f.u.
# DFT total energy   -6.364 eV/atom
data_SrRhNO2
_chemical_formula_sum 'Sr1 Rh1 N1 O2'
_symmetry_space_group_name_H-M 'P 4/m m m'
_symmetry_Int_Tables_number 123
_symmetry_space_group_name_Hall '-P 4 2'
_cell_length_a 4.176
_cell_length_b 4.176
_cell_length_c 3.712
_cell_angle_alpha 90.00
_cell_angle_beta 90.00
_cell_angle_gamma 90.00
loop_
_atom_site_label
_atom_site_fract_x
_atom_site_fract_y
_atom_site_fract_z
Sr1 0.000 0.000 0.000
Rh1 0.500 0.500 0.500
N1 0.500 0.500 0.000
O1 0.000 0.500 0.500

***

Record 6
# LaNdCd, relaxed, DFT PBE
# Relative energy among the computed polymorphs   191.2 meV per atom
# ΔH_f (0 K)   -0.01 eV/atom
# D(E_F)   4.0 states/eV/f.u.
# DFT total energy   -3.547 eV/atom
data_LaNdCd
_chemical_formula_sum 'La2 Nd2 Cd2'
_symmetry_space_group_name_H-M 'P 4/n m m'
_symmetry_Int_Tables_number 129
_cell_length_a 4.876
_cell_length_b 4.876
_cell_length_c 8.272
_cell_angle_alpha 90.00
_cell_angle_beta 90.00
_cell_angle_gamma 90.00
loop_
_symmetry_equiv_pos_as_xyz
'x,y,z'
'-x,-y,-z'
'-y+1/2,x,z'
'y+1/2,-x,-z'
'-x+1/2,-y+1/2,z'
'x+1/2,y+1/2,-z'
'y,-x+1/2,z'
'-y,x+1/2,-z'
'x+1/2,-y,-z'
'-x+1/2,y,z'
'-y,-x,-z'
'y,x,z'
'-x,y+1/2,-z'
'x,-y+1/2,z'
'y+1/2,x+1/2,-z'
'-y+1/2,-x+1/2,z'
loop_
_atom_site_label
_atom_site_fract_x
_atom_site_fract_y
_atom_site_fract_z
La1 0.250 0.250 0.217
Nd1 0.250 0.250 0.771
Cd1 0.250 0.750 0.500

***

Record 7
# POs2W, relaxed, DFT PBE
# ΔH_f (0 K)   0.43 eV/atom
# D(E_F)   4.3 states/eV/f.u.
# DFT total energy   -9.777 eV/atom
data_POs2W
_chemical_formula_sum 'P2 Os4 W2'
_symmetry_space_group_name_H-M 'I -4 m 2'
_symmetry_Int_Tables_number 119
_symmetry_space_group_name_Hall 'I -4 -2'
_cell_length_a 3.776
_cell_length_b 3.776
_cell_length_c 8.023
_cell_angle_alpha 90.00
_cell_angle_beta 90.00
_cell_angle_gamma 90.00
loop_
_atom_site_label
_atom_site_fract_x
_atom_site_fract_y
_atom_site_fract_z
P1 0.000 0.000 0.000
Os1 0.000 0.000 0.500
Os2 0.000 0.500 0.250
W1 0.000 0.500 0.750

***

Record 8
# La2InOsPb, relaxed, DFT PBE
# Relative energy among the computed polymorphs   0.0 meV per atom
# ΔH_f (0 K)   -0.26 eV/atom
# D(E_F)   5.2 states/eV/f.u.
# DFT total energy   -5.766 eV/atom
data_La2InOsPb
_chemical_formula_sum 'La2 In1 Os1 Pb1'
_symmetry_space_group_name_H-M 'P 4/m m m'
_symmetry_Int_Tables_number 123
_symmetry_space_group_name_Hall '-P 4 2'
_cell_length_a 5.474
_cell_length_b 5.474
_cell_length_c 5.251
_cell_angle_alpha 90.00
_cell_angle_beta 90.00
_cell_angle_gamma 90.00
loop_
_atom_site_label
_atom_site_fract_x
_atom_site_fract_y
_atom_site_fract_z
La1 0.000 0.500 0.000
In1 0.000 0.000 0.500
Os1 0.000 0.000 0.000
Pb1 0.500 0.500 0.500

***

Record 9
# Cs6Rb8Cl, relaxed, DFT PBE
# Formation energy without anion corrections   -0.23 eV per atom
# D(E_F)   12.6 states/eV/f.u.
# DFT total energy   -1.210 eV/atom
data_Cs6Rb8Cl
_chemical_formula_sum 'Cs18 Rb24 Cl3'
_symmetry_space_group_name_H-M 'R -3'
_symmetry_Int_Tables_number 148
_symmetry_space_group_name_Hall '-R 3'
_cell_length_a 13.8416
_cell_length_b 13.8416
_cell_length_c 25.3700
_cell_angle_alpha 90.00
_cell_angle_beta 90.00
_cell_angle_gamma 120.00
loop_
_atom_site_label
_atom_site_fract_x
_atom_site_fract_y
_atom_site_fract_z
Cs1 0.0531 0.2460 0.4169
Rb1 0.0000 0.0000 0.2469
Rb2 0.0527 0.2227 0.9212
Cl1 0.0000 0.0000 0.0000

***

Record 10
# Sm8Si3AsI4, relaxed, DFT PBE
# Formation energy without anion corrections   -1.03 eV per atom
# D(E_F)   6.2 states/eV/f.u.
# DFT total energy   -5.084 eV/atom
data_Sm8Si3AsI4
_chemical_formula_sum 'Sm24 Si9 As3 I12'
_symmetry_space_group_name_H-M 'R -3 m'
_symmetry_Int_Tables_number 166
_symmetry_space_group_name_Hall '-R 3 2"'
_cell_length_a 8.5549
_cell_length_b 8.5549
_cell_length_c 22.8562
_cell_angle_alpha 90.00
_cell_angle_beta 90.00
_cell_angle_gamma 120.00
loop_
_atom_site_label
_atom_site_fract_x
_atom_site_fract_y
_atom_site_fract_z
Sm1 0.0000 0.0000 0.2317
Sm2 0.0051 0.5025 0.7687
Si1 0.0000 0.5000 0.5000
As1 0.0000 0.0000 0.5000
I1 0.0000 0.0000 0.0000
I2 0.0000 0.5000 0.0000

***

Record 11
# Th2CdNi12P3, relaxed, DFT PBE
# ΔH_f (0 K)   -0.08 eV/atom
# D(E_F)   10.7 states/eV/f.u.
# DFT total energy   -5.714 eV/atom
data_Th2CdNi12P3
_chemical_formula_sum 'Th6 Cd3 Ni36 P9'
_symmetry_space_group_name_H-M 'R -3 m'
_symmetry_Int_Tables_number 166
_symmetry_space_group_name_Hall '-R 3 2"'
_cell_length_a 7.5612
_cell_length_b 7.5612
_cell_length_c 17.3887
_cell_angle_alpha 90.00
_cell_angle_beta 90.00
_cell_angle_gamma 120.00
loop_
_atom_site_label
_atom_site_fract_x
_atom_site_fract_y
_atom_site_fract_z
Th1 0.0000 0.0000 0.1084
Cd1 0.0000 0.0000 0.5000
Ni1 0.0322 0.5161 0.3586
Ni2 0.0322 0.5161 0.8761
P1 0.0000 0.5000 0.0000

***

Record 12
# Y2CdAs, relaxed, DFT PBE
# Relative energy among the computed polymorphs   230.4 meV per atom
# ΔH_f (0 K)   -0.61 eV/atom
# D(E_F)   3.6 states/eV/f.u.
# DFT total energy   -5.237 eV/atom
data_Y2CdAs
_chemical_formula_sum 'Y4 Cd2 As2'
_symmetry_space_group_name_H-M 'I m m 2'
_symmetry_Int_Tables_number 44
_cell_length_a 3.948
_cell_length_b 4.596
_cell_length_c 11.011
_cell_angle_alpha 90.00
_cell_angle_beta 90.00
_cell_angle_gamma 90.00
loop_
_symmetry_equiv_pos_as_xyz
'x,y,z'
'-x,-y,z'
'-x,y,z'
'x,-y,z'
'x+1/2,y+1/2,z+1/2'
'-x+1/2,-y+1/2,z+1/2'
'-x+1/2,y+1/2,z+1/2'
'x+1/2,-y+1/2,z+1/2'
loop_
_atom_site_label
_atom_site_fract_x
_atom_site_fract_y
_atom_site_fract_z
Y1 0.000 0.000 0.000
Y2 0.000 0.500 0.235
Cd1 0.000 0.500 0.778
As1 0.000 0.000 0.501

***

Among the records above, which one has the highest DFT total energy?
Cs6Rb8Cl